This record from Alexandria describes a crystal of CaAlH2I relaxed with PBEsol. The functional is SCAN.

Calculated values
density	2.85	g/cm³
total magnetization	0.0	μB per formula unit
VASP energy	-11.573	eV per atom

a = 4.314 Å, b = 4.314 Å, c = 6.127 Å
α = 90.00°, β = 90.00°, γ = 90.00°
Space group P4/mmm (No. 123)
Asymmetric unit:
Ca1 0.000 0.000 0.000 x1
Al1 0.500 0.500 0.000 x1
H1 0.000 0.500 0.500 x2
I1 0.500 0.500 0.500 x1

---

This record from Alexandria describes a crystal of TiCo2Cl relaxed with PBEsol. The functional is SCAN.

Calculated values
density	6.68	g/cm³
total magnetization	2.2	μB per formula unit
VASP energy	-14.021	eV per atom

a = 5.849 Å, b = 5.849 Å, c = 5.849 Å
α = 90.00°, β = 90.00°, γ = 90.00°
Space group Fm-3m (No. 225)
Asymmetric unit:
Ti1 0.000 0.000 0.000 x4
Co1 0.250 0.250 0.250 x8
Cl1 0.000 0.000 0.500 x4

---

Which of these has the highest VASP energy?
CaAlH2I

---

What is the formula in the first record?
CaAlH2I